Entry from the Alexandria database: a relaxed structure of MgNpBeO6 (PBE-GGA).

Geometry as POSCAR:
```
MgNpBeO6
1.0
4.986 0.000 0.000
-2.493 4.318 0.000
0.000 0.000 9.130
Mg Np Be O
2 2 2 12
direct
0.000 0.000 0.000
0.000 0.000 0.500
0.333 0.667 0.250
0.667 0.333 0.750
0.333 0.667 0.750
0.667 0.333 0.250
0.022 0.358 0.637
0.022 0.663 0.863
0.337 0.358 0.863
0.337 0.978 0.637
0.358 0.022 0.137
0.358 0.337 0.363
0.642 0.663 0.637
0.642 0.978 0.863
0.663 0.022 0.363
0.663 0.642 0.137
0.978 0.337 0.137
0.978 0.642 0.363
```

Its uncorrected formation energy is -2186 meV/atom. For the final energy, the calculation gives -7.521 eV/atom. Its magnetic moment is 0.00 μB/atom.

Entry from the Alexandria database: a relaxed structure of MgNp2BeO8 (PBE-GGA).

Geometry as POSCAR:
```
MgNp2BeO8
1.0
3.144 -3.257 0.000
3.144 3.257 0.000
0.000 0.000 6.940
Mg Np Be O
1 2 1 8
direct
0.000 0.000 0.000
0.500 0.500 0.254
0.500 0.500 0.746
0.000 0.000 0.500
0.205 0.795 0.255
0.205 0.795 0.745
0.271 0.271 0.500
0.306 0.306 0.000
0.694 0.694 0.000
0.729 0.729 0.500
0.795 0.205 0.255
0.795 0.205 0.745
```

Its uncorrected formation energy is -2567 meV/atom. For the final energy, the calculation gives -8.472 eV/atom. Its magnetic moment is 0.17 μB/atom.